Entry 1:
A relaxed Mg8V5O16 crystal. Source: the Alexandria database, functional PBE with a Hubbard U.

a b c (Å): 6.041 6.045 10.286
angles (deg): 73.66 73.57 60.43
Sites, in units of the cell vectors:
Mg1 0.000 0.000 0.000
Mg2 0.001 0.501 0.000
Mg3 0.187 0.675 0.432
Mg4 0.245 0.749 0.747
Mg5 0.499 0.006 0.997
Mg6 0.501 0.496 0.995
Mg7 0.753 0.245 0.254
Mg8 0.809 0.315 0.575
V1 0.245 0.245 0.251
V2 0.249 0.258 0.748
V3 0.493 0.997 0.502
V4 0.749 0.733 0.256
V5 0.756 0.752 0.749
O1 0.113 0.613 0.133
O2 0.117 0.145 0.124
O3 0.117 0.621 0.636
O4 0.154 0.115 0.630
O5 0.356 0.378 0.879
O6 0.373 0.871 0.882
O7 0.390 0.336 0.370
O8 0.390 0.882 0.363
O9 0.609 0.112 0.635
O10 0.613 0.658 0.630
O11 0.628 0.122 0.124
O12 0.645 0.633 0.131
O13 0.844 0.874 0.364
O14 0.872 0.392 0.364
O15 0.876 0.857 0.881
O16 0.880 0.385 0.877

Results
Symmetry   P1 (1)
DFT total energy   -6.860 eV per atom

***

Entry 2:
A relaxed MgV4O6 crystal. Source: the Alexandria database, functional PBE with a Hubbard U.

a b c (Å): 5.269 5.269 15.646
angles (deg): 90.00 90.00 147.53
Sites, in units of the cell vectors:
Mg1 0.143 0.857 0.750
Mg2 0.857 0.143 0.250
V1 0.107 0.893 0.139
V2 0.107 0.893 0.361
V3 0.367 0.633 0.047
V4 0.367 0.633 0.453
V5 0.633 0.367 0.547
V6 0.633 0.367 0.953
V7 0.893 0.107 0.639
V8 0.893 0.107 0.861
O1 0.000 0.000 0.000
O2 0.000 0.000 0.500
O3 0.216 0.784 0.250
O4 0.274 0.726 0.579
O5 0.274 0.726 0.921
O6 0.468 0.532 0.163
O7 0.468 0.532 0.337
O8 0.532 0.468 0.663
O9 0.532 0.468 0.837
O10 0.726 0.274 0.079
O11 0.726 0.274 0.421
O12 0.784 0.216 0.750

Results
Symmetry   Cmcm (63)
DFT total energy   -7.513 eV per atom
D(E_F)   5.8 states/eV/cell